(1)
# AlNi6Ir | Alexandria via LeMat-Bulk | PBE-GGA | relaxed
# crystal system = orthorhombic
# DFT total energy = -6.107 eV per atom
# relative energy among the computed polymorphs = 0.0000 eV per atom
# E_form = -0.1960 eV/atom
data_AlNi6Ir
_chemical_formula_sum 'Al8 Ni48 Ir8'
_symmetry_space_group_name_H-M 'C m m m'
_symmetry_Int_Tables_number 65
_symmetry_space_group_name_Hall '-C 2 2'
_cell_length_a 7.1752
_cell_length_b 10.1752
_cell_length_c 10.1812
_cell_angle_alpha 90.00
_cell_angle_beta 90.00
_cell_angle_gamma 90.00
loop_
_atom_site_label
_atom_site_type_symbol
_atom_site_fract_x
_atom_site_fract_y
_atom_site_fract_z
Al1 Al 0.0000 0.0000 0.2471
Al2 Al 0.0000 0.2496 0.0000
Ni1 Ni 0.0000 0.0000 0.0000
Ni2 Ni 0.0000 0.0000 0.5000
Ni3 Ni 0.0000 0.2494 0.2488
Ni4 Ni 0.0000 0.5000 0.0000
Ni5 Ni 0.0000 0.5000 0.5000
Ni6 Ni 0.2495 0.1253 0.1235
Ni7 Ni 0.2487 0.1247 0.3726
Ir1 Ir 0.0000 0.2475 0.5000
Ir2 Ir 0.0000 0.5000 0.2486


(2)
# AlNi2Ir | Alexandria via LeMat-Bulk | PBE-GGA | relaxed
# crystal system = tetragonal
# DFT total energy = -6.399 eV per atom
# E_form = -0.3577 eV/atom
data_AlNi2Ir
_chemical_formula_sum 'Al2 Ni4 Ir2'
_symmetry_space_group_name_H-M 'I 4/m m m'
_symmetry_Int_Tables_number 139
_symmetry_space_group_name_Hall '-I 4 2'
_cell_length_a 3.6942
_cell_length_b 3.6942
_cell_length_c 7.3340
_cell_angle_alpha 90.00
_cell_angle_beta 90.00
_cell_angle_gamma 90.00
loop_
_atom_site_label
_atom_site_type_symbol
_atom_site_fract_x
_atom_site_fract_y
_atom_site_fract_z
Al1 Al 0.0000 0.0000 0.0000
Ni1 Ni 0.0000 0.5000 0.2500
Ir1 Ir 0.0000 0.0000 0.5000


Question: Among the records above, which one has the highest E_form?
Answer: AlNi6Ir